This record from Alexandria via LeMat-Bulk describes a geometry-optimized Ga2MoIr2 structure. The functional is GGA-PBE.

a b c (Å): 7.2722 7.2722 2.8246
angles (deg): 90.00 90.00 90.00
With the nearest neighbours (Å) after each atom.
Sites, in units of the cell vectors:
1 Ga 0.3683 0.8683 0.0000  6 Ir 2.50-2.61, 1 Ga 2.71
2 Ga 0.1317 0.3683 0.0000  6 Ir 2.50-2.61, 1 Ga 2.71
3 Ga 0.8683 0.6317 0.0000  6 Ir 2.50-2.61, 1 Ga 2.71
4 Ga 0.6317 0.1317 0.0000  6 Ir 2.50-2.61, 1 Ga 2.71
5 Ir 0.6679 0.8321 0.5000  6 Ga 2.50-2.61
6 Ir 0.8321 0.3321 0.5000  6 Ga 2.50-2.61
7 Ir 0.1679 0.6679 0.5000  6 Ga 2.50-2.61
8 Ir 0.3321 0.1679 0.5000  6 Ga 2.50-2.61
9 Mo 0.5000 0.5000 0.0000  2 Mo 2.82, 4 Ga 2.84, 8 Ir 3.05
10 Mo 0.0000 0.0000 0.0000  2 Mo 2.82, 4 Ga 2.84, 8 Ir 3.05

Space group: No. 127
DFT formation energy (eV/atom): -0.165
VASP energy (eV/cell): -70.86
DOS at the Fermi energy (states/eV/cell): 5.48
Energy above the most stable polymorph in this dataset (meV/atom): 0
Total moment (μB/f.u.): 0.000



This record from Alexandria via LeMat-Bulk describes a geometry-optimized ZrTcRh2 structure. The functional is GGA-PBE.

a b c (Å): 3.3094 3.3094 5.9565
angles (deg): 90.00 90.00 90.00
With the nearest neighbours (Å) after each atom.
Sites, in units of the cell vectors:
1 Tc 0.0000 0.0000 0.4655  5 Rh 2.61-2.77
2 Rh 0.0000 0.0000 0.0007  4 Zr 2.74, 1 Tc 2.77, 4 Rh 2.84
3 Rh 0.5000 0.5000 0.2718  4 Tc 2.61, 4 Rh 2.84, 1 Zr 2.92
4 Zr 0.5000 0.5000 0.7621  6 Rh 2.74-3.04, 4 Tc 2.93

Space group: No. 99
DFT formation energy (eV/atom): -0.212
VASP energy (eV/cell): -34.47
DOS at the Fermi energy (states/eV/cell): 5.15
Energy above the most stable polymorph in this dataset (meV/atom): 193
Total moment (μB/f.u.): 0.000



This record from Alexandria via LeMat-Bulk describes a geometry-optimized Ta2TlP structure. The functional is GGA-PBE.

a b c (Å): 3.1092 3.1092 7.4190
angles (deg): 90.00 90.00 90.00
With the nearest neighbours (Å) after each atom.
Sites, in units of the cell vectors:
1 Ta 0.0000 0.0000 0.3053  4 P 2.63, 1 Ta 2.89
2 Ta 0.0000 0.0000 0.6947  4 P 2.63, 1 Ta 2.89
3 Tl 0.5000 0.5000 0.0000  4 Tl 3.11, 8 Ta 3.16
4 P 0.5000 0.5000 0.5000  8 Ta 2.63

Space group: No. 123
DFT formation energy (eV/atom): -0.065
VASP energy (eV/cell): -31.74
DOS at the Fermi energy (states/eV/cell): 0.92
Energy above the most stable polymorph in this dataset (meV/atom): 0
Total moment (μB/f.u.): 0.000



This record from Alexandria via LeMat-Bulk describes a geometry-optimized Sm2TlIr structure. The functional is GGA-PBE.

a b c (Å): 4.0447 4.0447 8.5103
angles (deg): 76.25 76.25 60.00
With the nearest neighbours (Å) after each atom.
Sites, in units of the cell vectors:
1 Sm 0.2684 0.2684 0.1949  3 Ir 2.83
2 Sm 0.7316 0.7316 0.8051  3 Ir 2.83
3 Tl 0.5000 0.5000 0.5000  6 Sm 3.42
4 Ir 0.0000 0.0000 0.0000  6 Sm 2.83

Space group: No. 166
DFT formation energy (eV/atom): -0.491
VASP energy (eV/cell): -22.63
DOS at the Fermi energy (states/eV/cell): 1.77
Energy above the most stable polymorph in this dataset (meV/atom): 39
Total moment (μB/f.u.): 0.000



This record from Alexandria via LeMat-Bulk describes a geometry-optimized MgCdPd3 structure. The functional is GGA-PBE.

a b c (Å): 7.3875 7.3443 7.3445
angles (deg): 62.45 89.97 89.97
With the nearest neighbours (Å) after each atom.
Sites, in units of the cell vectors:
1 Pd 0.0001 0.3144 0.3144  4 Pd 2.71-2.90, 4 Mg 2.76-2.86, 2 Cd 2.99
2 Pd 0.5615 0.7179 0.0588  2 Mg 2.67-2.69, 5 Pd 2.71-2.89, 3 Cd 2.75-2.96
3 Pd 0.9999 0.6856 0.6856  4 Pd 2.71-2.90, 4 Mg 2.76-2.86, 2 Cd 2.99
4 Pd 0.5000 0.3144 0.3144  4 Pd 2.71-2.90, 4 Mg 2.76-2.86, 2 Cd 2.99
5 Pd 0.0615 0.0588 0.7179  2 Mg 2.67-2.69, 5 Pd 2.71-2.89, 3 Cd 2.75-2.96
6 Pd 0.4384 0.0590 0.7179  2 Mg 2.68-2.70, 5 Pd 2.71-2.90, 3 Cd 2.75-2.96
7 Pd 0.5616 0.9410 0.2821  2 Mg 2.68-2.70, 5 Pd 2.71-2.90, 3 Cd 2.75-2.96
8 Pd 0.4385 0.2821 0.9412  2 Mg 2.67-2.69, 5 Pd 2.71-2.89, 3 Cd 2.75-2.96
9 Pd 0.9385 0.9412 0.2821  2 Mg 2.67-2.69, 5 Pd 2.71-2.89, 3 Cd 2.75-2.96
10 Pd 0.0616 0.2821 0.9410  2 Mg 2.68-2.70, 5 Pd 2.71-2.90, 3 Cd 2.75-2.96
11 Pd 0.9384 0.7179 0.0590  2 Mg 2.68-2.70, 5 Pd 2.71-2.90, 3 Cd 2.75-2.96
12 Pd 0.5000 0.6856 0.6856  4 Pd 2.71-2.90, 4 Mg 2.76-2.86, 2 Cd 2.99
13 Mg 0.7500 0.4384 0.0002  8 Pd 2.67-2.86, 1 Cd 2.91
14 Mg 0.7500 0.9999 0.5615  8 Pd 2.67-2.86, 1 Cd 2.91
15 Mg 0.2500 0.5616 0.9998  8 Pd 2.67-2.86, 1 Cd 2.91
16 Mg 0.2500 0.0001 0.4385  8 Pd 2.67-2.86, 1 Cd 2.91
17 Cd 0.7500 0.0974 0.9026  8 Pd 2.75-2.84, 2 Mg 2.91
18 Cd 0.2500 0.9026 0.0974  8 Pd 2.75-2.84, 2 Mg 2.91
19 Cd 0.2500 0.4594 0.5406  8 Pd 2.96-2.99
20 Cd 0.7500 0.5406 0.4594  8 Pd 2.96-2.99

Space group: No. 63
DFT formation energy (eV/atom): -0.360
VASP energy (eV/cell): -79.55
DOS at the Fermi energy (states/eV/cell): 6.20
Energy above the most stable polymorph in this dataset (meV/atom): 117
Total moment (μB/f.u.): 0.000



This record from Alexandria via LeMat-Bulk describes a geometry-optimized MgB3Ir structure. The functional is GGA-PBE.

a b c (Å): 4.0690 4.0690 4.0690
angles (deg): 90.00 90.00 90.00
With the nearest neighbours (Å) after each atom.
Sites, in units of the cell vectors:
1 B 0.0000 0.5000 0.0000  2 Mg 2.03
2 B 0.0000 0.0000 0.5000  2 Mg 2.03
3 B 0.5000 0.0000 0.0000  2 Mg 2.03
4 Mg 0.0000 0.0000 0.0000  6 B 2.03
5 Ir 0.5000 0.5000 0.5000  12 B 2.88

Space group: No. 221
DFT formation energy (eV/atom): 2.642
VASP energy (eV/cell): -17.28
DOS at the Fermi energy (states/eV/cell): 3.06
Energy above the most stable polymorph in this dataset (meV/atom): 1789
Total moment (μB/f.u.): 0.000



This record from Alexandria via LeMat-Bulk describes a geometry-optimized B2PtO structure. The functional is GGA-PBE.

a b c (Å): 4.6824 4.6824 4.7767
angles (deg): 60.65 60.65 90.00
With the nearest neighbours (Å) after each atom.
Sites, in units of the cell vectors:
1 B 0.3750 0.4524 0.7500  2 O 1.66
2 B 0.5476 0.1250 0.2500  2 O 1.66
3 B 0.2024 0.6250 0.2500  2 O 1.66
4 B 0.8750 0.7976 0.7500  2 O 1.66
5 Pt 0.7500 0.2500 0.5000  4 B 2.11
6 Pt 0.0000 0.0000 0.0000  4 B 2.11
7 O 0.5000 0.5000 0.0000  4 B 1.66
8 O 0.2500 0.7500 0.5000  4 B 1.66

Space group: No. 122
VASP energy (eV/cell): -50.90
DOS at the Fermi energy (states/eV/cell): 0.00
Uncorrected formation energy (eV per atom): -0.27
Total moment (μB/f.u.): 0.000



This record from Alexandria via LeMat-Bulk describes a geometry-optimized Pm4TcBi structure. The functional is GGA-PBE.

a b c (Å): 6.3849 8.2659 8.2660
angles (deg): 113.80 101.57 101.57
With the nearest neighbours (Å) after each atom.
Sites, in units of the cell vectors:
1 Tc 0.7500 0.9990 0.0010  8 Pm 2.96-3.01, 2 Tc 3.19
2 Tc 0.2500 0.0010 0.9990  8 Pm 2.96-3.01, 2 Tc 3.19
3 Pm 0.0598 0.9404 0.2763  2 Tc 2.96-2.97
4 Pm 0.9402 0.0596 0.7237  2 Tc 2.96-2.97
5 Pm 0.4402 0.7237 0.0596  2 Tc 2.96-2.97
6 Pm 0.6381 0.2065 0.3485  2 Tc 2.98-3.01, 1 Bi 3.32
7 Pm 0.1381 0.3485 0.2065  2 Tc 2.98-3.01, 1 Bi 3.32
8 Pm 0.8619 0.6515 0.7935  2 Tc 2.98-3.01, 1 Bi 3.32
9 Pm 0.3619 0.7935 0.6515  2 Tc 2.98-3.01, 1 Bi 3.32
10 Pm 0.5598 0.2763 0.9404  2 Tc 2.96-2.97
11 Bi 0.7500 0.6270 0.3730  6 Pm 3.32-3.39
12 Bi 0.2500 0.3730 0.6270  6 Pm 3.32-3.39

Space group: No. 15
DFT formation energy (eV/atom): -0.330
VASP energy (eV/cell): -70.46
DOS at the Fermi energy (states/eV/cell): 11.44
Total moment (μB/f.u.): 0.000